[1]
Sc6PdRu5, relaxed, DFT GGA-PBE; DFT formation energy = -0.6421 eV/atom; E_tot = -97.3 eV per formula unit; theoretical density = 7.29 g cm⁻³
1.0
7.1836 -3.2282 0.0000
7.1836 3.2282 0.0000
-1.4386 0.0000 4.3275
Sc Pd Ru
6 1 5
Direct
0.0754 0.5842 0.3297
0.2414 0.7586 0.0000
0.4158 0.9246 0.6703
0.5842 0.0754 0.3297
0.7586 0.2414 0.0000
0.9246 0.4158 0.6703
0.5000 0.5000 0.5000
0.0000 0.0000 0.5000
0.1665 0.1665 0.1665
0.3354 0.3354 0.8353
0.6646 0.6646 0.1647
0.8335 0.8335 0.8335

=====

[2]
AlCuP2, relaxed, DFT GGA-PBE; DFT formation energy = 0.2759 eV/atom; E_tot = -17.6 eV per formula unit; theoretical density = 4.42 g cm⁻³
1.0
2.9258 0.0000 0.0000
0.0000 2.9258 0.0000
0.0000 0.0000 6.6852
Al Cu P
1 1 2
Direct
0.0000 0.0000 0.0000
0.0000 0.0000 0.5000
0.5000 0.5000 0.2563
0.5000 0.5000 0.7437

=====

[3]
Tm4Sn2Hg5, relaxed, DFT GGA-PBE; DFT formation energy = -0.3759 eV/atom; E_tot = -31.5 eV per formula unit; theoretical density = 11.40 g cm⁻³
1.0
8.1254 0.0000 0.0000
0.0000 3.5336 0.0000
-1.0660 0.0000 9.7166
Tm Sn Hg
4 2 5
Direct
0.1939 0.0000 0.3914
0.2630 0.0000 0.9238
0.7370 0.0000 0.0762
0.8061 0.0000 0.6086
0.0858 0.5000 0.1378
0.9142 0.5000 0.8622
0.1560 0.5000 0.6466
0.4639 0.5000 0.1843
0.5000 0.5000 0.5000
0.5361 0.5000 0.8157
0.8440 0.5000 0.3534

=====

[4]
Sr2Cl3, relaxed, DFT GGA-PBE; formation energy without anion corrections = -2027 meV/atom; E_tot = -19.0 eV per formula unit; theoretical density = 2.57 g cm⁻³
1.0
0.0000 6.8041 4.7112
5.6676 0.0000 4.7112
5.6676 6.8041 0.0000
Sr Cl
4 6
Direct
0.2256 0.7744 0.3500
0.6000 0.9000 0.4756
0.7744 0.2256 0.6500
0.9000 0.6000 0.0244
0.1571 0.9592 0.6301
0.5097 0.5097 0.4903
0.6199 0.9964 0.0929
0.7597 0.7597 0.7403
0.9592 0.1571 0.2536
0.9964 0.6199 0.2908